The following is a DFT calculation (PBE+U) of crystalline K3Dy2FeO6 at its relaxed geometry.

## Properties
E_tot (eV/atom): -6.29
Space group: C2/m (12)
Mass density (Mg/m³): 5.380

Cell and atoms, written as extended XYZ:
```
12
Lattice="2.917 -5.053 0.000 2.917 5.053 0.000 -1.937 0.000 6.219" Properties=species:S:1:pos:R:3 pbc="T T T"
K 0.000 0.000 0.000
K 2.917 1.647 0.000
K 2.917 -1.647 0.000
Dy 1.949 3.367 3.110
Dy 1.949 -3.367 3.110
Fe 1.949 0.000 3.110
O 1.034 1.585 1.975
O 0.121 0.000 4.239
O 1.034 -1.585 1.975
O 2.864 1.585 4.244
O 3.777 0.000 1.981
O 2.864 -1.585 4.244
```